No. 1
! Ac2Sn | Alexandria | PBE-GGA | relaxed; values from VASP
! * relative energy among the computed polymorphs: 100 meV/atom
! * final energy: -0.3296 Ry/atom
! * crystal system: tetragonal
! * formation energy from the elements: -411 meV/atom
! * size of the total moment: 0.0000 μB/atom
&SYSTEM
  ibrav = 0, nat = 3, ntyp = 2
/
ATOMIC_SPECIES
Ac 227.00 Ac.upf
Sn 118.71 Sn.upf
CELL_PARAMETERS angstrom
-2.208 2.208 5.546
2.208 -2.208 5.546
2.208 2.208 -5.546
ATOMIC_POSITIONS crystal
Ac 0.154 0.154 0.000
Ac 0.846 0.846 0.000
Sn 0.500 0.500 0.000

No. 2
! PmIrRh2 | Alexandria | PBE-GGA | relaxed; values from VASP
! * relative energy among the computed polymorphs: 492 meV/atom
! * final energy: -0.5204 Ry/atom
! * crystal system: orthorhombic
! * formation energy from the elements: -2 meV/atom
! * size of the total moment: 0.0000 μB/atom
&SYSTEM
  ibrav = 0, nat = 4, ntyp = 3
/
ATOMIC_SPECIES
Pm 145.00 Pm.upf
Ir 192.22 Ir.upf
Rh 102.91 Rh.upf
CELL_PARAMETERS angstrom
2.686 -3.213 0.000
2.686 3.213 0.000
0.000 0.000 4.573
ATOMIC_POSITIONS crystal
Pm 0.000 0.000 0.000
Ir 0.500 0.500 0.000
Rh 0.303 0.697 0.500
Rh 0.697 0.303 0.500

No. 3
! NdDyMgTc | Alexandria | PBE-GGA | relaxed; values from VASP
! * final energy: -0.3882 Ry/atom
! * crystal system: cubic
! * formation energy from the elements: 51 meV/atom
! * size of the total moment: 0.0000 μB/atom
&SYSTEM
  ibrav = 0, nat = 4, ntyp = 4
/
ATOMIC_SPECIES
Nd 144.24 Nd.upf
Dy 162.50 Dy.upf
Mg 24.30 Mg.upf
Tc 98.00 Tc.upf
CELL_PARAMETERS angstrom
0.000 3.614 3.614
3.614 0.000 3.614
3.614 3.614 0.000
ATOMIC_POSITIONS crystal
Nd 0.000 0.000 0.000
Dy 0.500 0.500 0.500
Mg 0.750 0.750 0.750
Tc 0.250 0.250 0.250

No. 4
! YMnP2S | Alexandria | PBE-GGA | relaxed; values from VASP
! * relative energy among the computed polymorphs: 0 meV/atom
! * energy relative to the elements, uncorrected: -422 meV/atom
! * final energy: -0.4806 Ry/atom
! * crystal system: tetragonal
! * size of the total moment: 0.1496 μB/atom
&SYSTEM
  ibrav = 0, nat = 5, ntyp = 4
/
ATOMIC_SPECIES
Y 88.91 Y.upf
Mn 54.94 Mn.upf
P 30.97 P.upf
S 32.06 S.upf
CELL_PARAMETERS angstrom
4.254 0.000 0.000
0.000 4.254 0.000
0.000 0.000 5.126
ATOMIC_POSITIONS crystal
Y 0.000 0.000 0.000
Mn 0.500 0.500 0.500
P 0.000 0.500 0.500
P 0.500 0.000 0.500
S 0.500 0.500 0.000

Q: Number 1 is which compound?
A: Ac2Sn